A relaxed structure of Cr2FePbO8, computed with GGA+U.

M_tot = 4.00 μB/cell
final energy = -6.608 eV per atom
SG = P-3m1, No. 164

Lattice parameters (Å, degrees): 5.5929 5.5929 6.8197 90.00 90.00 120.00
With the nearest neighbours (Å) after each atom.
Fractional coordinates of all 12 atoms:
O: 0.6667 0.3333 0.9893  1 Cr 1.64
O: 0.1673 0.8310 0.6958  1 Cr 1.68
O: 0.8310 0.6638 0.3042  1 Cr 1.68
O: 0.8327 0.1690 0.3042  1 Cr 1.68
O: 0.1690 0.3362 0.6958  1 Cr 1.68
O: 0.3362 0.1673 0.3042  1 Cr 1.68
O: 0.6638 0.8327 0.6958  1 Cr 1.68
O: 0.3333 0.6667 0.0107  1 Cr 1.64
Pb: 0.0000 0.0000 0.0000  6 O 2.64
Cr: 0.6667 0.3333 0.2292  4 O 1.64-1.68
Cr: 0.3333 0.6667 0.7708  4 O 1.64-1.68
Fe: 0.0000 0.0000 0.5000  6 O 2.11